Arrangement P

DFT (PBE-GGA) results for a relaxed structure of Mg4Cd.

Calculated values
As for the symmetry: No. 139.

abc: 10.4234 10.4234 10.4234
angles: 161.62 161.62 26.10
With the nearest neighbours (Å) after each atom.
Atoms (fractional coordinates):
1 Mg 0.0956 0.0956 0.0000  4 Cd 3.05, 8 Mg 3.15-3.33
2 Mg 0.3013 0.3013 0.0000  12 Mg 3.14-3.33
3 Mg 0.6987 0.6987 0.0000  12 Mg 3.14-3.33
4 Mg 0.9044 0.9044 0.0000  4 Cd 3.05, 8 Mg 3.15-3.33
5 Cd 0.5000 0.5000 0.0000  8 Mg 3.05, 4 Cd 3.33



Arrangement Q

DFT (PBE-GGA) results for a relaxed structure of Mg4Cd.

Calculated values
As for the symmetry: No. 87.

abc: 5.4483 5.4483 5.4483
angles: 100.17 100.17 130.31
With the nearest neighbours (Å) after each atom.
Atoms (fractional coordinates):
1 Mg 0.1038 0.6990 0.8029  3 Cd 3.10-3.19, 9 Mg 3.14-3.19
2 Mg 0.3010 0.1038 0.4048  3 Cd 3.10-3.19, 9 Mg 3.14-3.19
3 Mg 0.6990 0.8962 0.5952  3 Cd 3.10-3.19, 9 Mg 3.14-3.19
4 Mg 0.8962 0.3010 0.1971  3 Cd 3.10-3.19, 9 Mg 3.14-3.19
5 Cd 0.5000 0.5000 0.0000  12 Mg 3.10-3.19



Arrangement R

DFT (PBE-GGA) results for a relaxed structure of Mg4Cd.

Calculated values
As for the symmetry: No. 229.

abc: 5.6636 5.6636 5.6636
angles: 109.47 109.47 109.47
With the nearest neighbours (Å) after each atom.
Atoms (fractional coordinates):
1 Mg 0.0000 0.0000 0.5000  2 Cd 2.83
2 Mg 0.0000 0.5000 0.0000  2 Cd 2.83
3 Mg 0.5000 0.0000 0.0000  2 Cd 2.83
4 Mg 0.5000 0.5000 0.5000  2 Cd 2.83
5 Cd 0.0000 0.0000 0.0000  8 Mg 2.83



Most stable: arrangement Q. Least stable: arrangement R.



Arrangement P

DFT (PBE-GGA) results for a relaxed structure of Mg3Cd4.

Calculated values
As for the symmetry: No. 191.

abc: 5.9592 5.9592 5.3219
angles: 90.00 90.00 120.00
With the nearest neighbours (Å) after each atom.
Atoms (fractional coordinates):
1 Mg 0.0000 0.5000 0.0000  4 Mg 2.98, 8 Cd 3.17-3.27
2 Mg 0.5000 0.0000 0.0000  4 Mg 2.98, 8 Cd 3.17-3.27
3 Mg 0.5000 0.5000 0.0000  4 Mg 2.98, 8 Cd 3.17-3.27
4 Cd 0.0000 0.0000 0.2518  2 Cd 2.64-2.68
5 Cd 0.0000 0.0000 0.7482  2 Cd 2.64-2.68
6 Cd 0.3333 0.6667 0.5000  6 Mg 3.17, 3 Cd 3.44
7 Cd 0.6667 0.3333 0.5000  6 Mg 3.17, 3 Cd 3.44



Arrangement Q

DFT (PBE-GGA) results for a relaxed structure of Mg3Cd4.

Calculated values
As for the symmetry: No. 71.

abc: 11.1652 11.1652 11.1652
angles: 162.93 157.94 28.02
With the nearest neighbours (Å) after each atom.
Atoms (fractional coordinates):
1 Mg 0.0000 0.0000 0.0000  4 Mg 3.10-3.31, 8 Cd 3.12
2 Mg 0.1433 0.1433 0.0000  9 Cd 3.09-3.11, 3 Mg 3.10-3.31
3 Mg 0.8567 0.8567 0.0000  9 Cd 3.09-3.11, 3 Mg 3.10-3.31
4 Cd 0.2858 0.2858 0.0000  7 Cd 3.08-3.31, 5 Mg 3.09-3.11
5 Cd 0.4280 0.4280 0.0000  4 Cd 3.08-3.31, 8 Mg 3.11-3.12
6 Cd 0.5720 0.5720 0.0000  4 Cd 3.08-3.31, 8 Mg 3.11-3.12
7 Cd 0.7142 0.7142 0.0000  7 Cd 3.08-3.31, 5 Mg 3.09-3.11



Arrangement R

DFT (PBE-GGA) results for a relaxed structure of Mg3Cd4.

Calculated values
As for the symmetry: No. 148.

abc: 7.8594 7.8594 7.8594
angles: 113.55 113.55 113.55
With the nearest neighbours (Å) after each atom.
Atoms (fractional coordinates):
1 Mg 0.0688 0.6425 0.7822  8 Cd 3.02-3.05
2 Mg 0.2178 0.9312 0.3575  8 Cd 3.02-3.05
3 Mg 0.3575 0.2178 0.9312  8 Cd 3.02-3.05
4 Mg 0.6425 0.7822 0.0688  8 Cd 3.02-3.05
5 Mg 0.7822 0.0688 0.6425  8 Cd 3.02-3.05
6 Mg 0.9312 0.3575 0.2178  8 Cd 3.02-3.05
7 Cd 0.0000 0.0000 0.0000  6 Mg 3.04, 2 Cd 3.05
8 Cd 0.1386 0.2818 0.5716  7 Mg 3.02-3.05, 1 Cd 3.08
9 Cd 0.2818 0.5716 0.1386  7 Mg 3.02-3.05, 1 Cd 3.08
10 Cd 0.4284 0.8614 0.7182  7 Mg 3.02-3.05, 1 Cd 3.08
11 Cd 0.5000 0.5000 0.5000  8 Cd 3.05-3.08
12 Cd 0.5716 0.1386 0.2818  7 Mg 3.02-3.05, 1 Cd 3.08
13 Cd 0.7182 0.4284 0.8614  7 Mg 3.02-3.05, 1 Cd 3.08
14 Cd 0.8614 0.7182 0.4284  7 Mg 3.02-3.05, 1 Cd 3.08



Arrangement S

DFT (PBE-GGA) results for a relaxed structure of Mg3Cd4.

Calculated values
As for the symmetry: No. 139.

abc: 10.9801 10.9801 10.9801
angles: 159.97 159.97 28.48
With the nearest neighbours (Å) after each atom.
Atoms (fractional coordinates):
1 Mg 0.0000 0.0000 0.0000  10 Cd 3.07-3.09
2 Mg 0.2880 0.2880 0.0000  6 Cd 3.00-3.06, 4 Mg 3.15
3 Mg 0.7120 0.7120 0.0000  6 Cd 3.00-3.06, 4 Mg 3.15
4 Cd 0.1442 0.1442 0.0000  6 Mg 3.06-3.07, 4 Cd 3.12
5 Cd 0.4292 0.4292 0.0000  5 Mg 3.00-3.09, 5 Cd 3.01-3.12
6 Cd 0.5708 0.5708 0.0000  5 Mg 3.00-3.09, 5 Cd 3.01-3.12
7 Cd 0.8558 0.8558 0.0000  6 Mg 3.06-3.07, 4 Cd 3.12



Most stable: arrangement Q. Least stable: arrangement P.



Arrangement P

DFT (PBE-GGA) results for a relaxed structure of Mg8Cd3.

Calculated values
As for the symmetry: No. 148.

abc: 6.5796 6.5796 6.5796
angles: 89.42 89.42 89.42
With the nearest neighbours (Å) after each atom.
Atoms (fractional coordinates):
1 Mg 0.1383 0.1383 0.1383  3 Cd 2.69
2 Mg 0.2025 0.6210 0.3574  2 Cd 2.84-2.97, 2 Mg 3.14
3 Mg 0.3574 0.2025 0.6210  2 Cd 2.84-2.97, 2 Mg 3.14
4 Mg 0.3790 0.6426 0.7975  2 Cd 2.84-2.97, 2 Mg 3.14
5 Mg 0.6210 0.3574 0.2025  2 Cd 2.84-2.97, 2 Mg 3.14
6 Mg 0.6426 0.7975 0.3790  2 Cd 2.84-2.97, 2 Mg 3.14
7 Mg 0.7975 0.3790 0.6426  2 Cd 2.84-2.97, 2 Mg 3.14
8 Mg 0.8617 0.8617 0.8617  3 Cd 2.69
9 Cd 0.0000 0.0000 0.5000  6 Mg 2.69-2.97
10 Cd 0.0000 0.5000 0.0000  6 Mg 2.69-2.97
11 Cd 0.5000 0.0000 0.0000  6 Mg 2.69-2.97



Arrangement Q

DFT (PBE-GGA) results for a relaxed structure of Mg8Cd3.

Calculated values
As for the symmetry: No. 12.

abc: 5.5688 5.5688 10.8916
angles: 102.18 102.18 48.00
With the nearest neighbours (Å) after each atom.
Atoms (fractional coordinates):
1 Mg 0.0471 0.0471 0.3163  4 Cd 3.10-3.13, 8 Mg 3.12-3.21
2 Mg 0.1356 0.1356 0.9563  5 Cd 3.10-3.25, 7 Mg 3.12-3.23
3 Mg 0.2282 0.2282 0.5909  4 Cd 3.09-3.23, 8 Mg 3.11-3.21
4 Mg 0.3238 0.3238 0.2293  4 Cd 3.08-3.24, 8 Mg 3.12-3.19
5 Mg 0.6762 0.6762 0.7707  4 Cd 3.08-3.24, 8 Mg 3.12-3.19
6 Mg 0.7718 0.7718 0.4091  4 Cd 3.09-3.23, 8 Mg 3.11-3.21
7 Mg 0.8644 0.8644 0.0437  5 Cd 3.10-3.25, 7 Mg 3.12-3.23
8 Mg 0.9529 0.9529 0.6837  4 Cd 3.10-3.13, 8 Mg 3.12-3.21
9 Cd 0.4058 0.4058 0.8625  11 Mg 3.09-3.25, 1 Cd 3.16
10 Cd 0.5000 0.5000 0.5000  12 Mg 3.08-3.23
11 Cd 0.5942 0.5942 0.1375  11 Mg 3.09-3.25, 1 Cd 3.16



Most stable: arrangement Q. Least stable: arrangement P.



Arrangement P

DFT (PBE-GGA) results for a relaxed structure of Mg4Cd3.

Calculated values
As for the symmetry: No. 71.

abc: 11.2239 11.2239 11.2239
angles: 163.04 158.16 27.79
With the nearest neighbours (Å) after each atom.
Atoms (fractional coordinates):
1 Mg 0.0708 0.0708 0.0000  4 Mg 3.08-3.31, 8 Cd 3.11-3.14
2 Mg 0.2128 0.2128 0.0000  5 Cd 3.07-3.10, 7 Mg 3.10-3.31
3 Mg 0.7872 0.7872 0.0000  5 Cd 3.07-3.10, 7 Mg 3.10-3.31
4 Mg 0.9292 0.9292 0.0000  4 Mg 3.08-3.31, 8 Cd 3.11-3.14
5 Cd 0.3551 0.3551 0.0000  9 Mg 3.07-3.14, 3 Cd 3.16-3.31
6 Cd 0.5000 0.5000 0.0000  8 Mg 3.11, 4 Cd 3.16-3.31
7 Cd 0.6449 0.6449 0.0000  9 Mg 3.07-3.14, 3 Cd 3.16-3.31



Arrangement Q

DFT (PBE-GGA) results for a relaxed structure of Mg4Cd3.

Calculated values
As for the symmetry: No. 139.

abc: 11.1118 11.1118 11.1118
angles: 160.36 160.36 27.92
With the nearest neighbours (Å) after each atom.
Atoms (fractional coordinates):
1 Mg 0.0702 0.0702 0.0000  5 Mg 3.03-3.13, 5 Cd 3.06-3.08
2 Mg 0.3545 0.3545 0.0000  6 Cd 3.04-3.14, 4 Mg 3.13
3 Mg 0.6455 0.6455 0.0000  6 Cd 3.04-3.14, 4 Mg 3.13
4 Mg 0.9298 0.9298 0.0000  5 Mg 3.03-3.13, 5 Cd 3.06-3.08
5 Cd 0.2122 0.2122 0.0000  6 Mg 3.04-3.07, 4 Cd 3.14
6 Cd 0.5000 0.5000 0.0000  10 Mg 3.08-3.14
7 Cd 0.7878 0.7878 0.0000  6 Mg 3.04-3.07, 4 Cd 3.14



Most stable: arrangement P. Least stable: arrangement Q.